SmPaCO | PBE | optimized geometry

Calculated values
DOS(E_F): 0.4197 states/eV/atom
energy: -67.0 eV per cell

Lattice parameters (Å, degrees): 4.0918 4.0918 8.6781 90.00 90.00 90.00
Closest atoms and distances in Å follow each position.
Atoms (fractional coordinates):
Sm 0.2500 0.2500 0.1253  4 O 2.32
Sm 0.7500 0.7500 0.8747  4 O 2.32
Pa 0.2500 0.7500 0.5000  4 C 2.43
Pa 0.7500 0.2500 0.5000  4 C 2.43
C 0.2500 0.2500 0.6517  4 Pa 2.43
C 0.7500 0.7500 0.3483  4 Pa 2.43
O 0.2500 0.7500 0.0000  4 Sm 2.32
O 0.7500 0.2500 0.0000  4 Sm 2.32